The following is a GGA-PBE calculation of crystalline Ca2UAsN2 at its relaxed geometry, from Alexandria via LeMat-Bulk.

Output
space group	P4/mmm (123)
formation energy without anion corrections	-1.1442	eV/atom
mass density	6.0	g/cm3

Unit cell a=4.287 b=4.287 c=6.336 alpha=90.00 beta=90.00 gamma=90.00
Atoms (fractional coordinates):
1 Ca 0.000 0.000 0.246
2 Ca 0.000 0.000 0.754
3 U 0.500 0.500 0.500
4 As 0.500 0.500 0.000
5 N 0.000 0.500 0.500
6 N 0.500 0.000 0.500



The following is a GGA-PBE calculation of crystalline VNi2Pt3 at its relaxed geometry, from Alexandria via LeMat-Bulk.

Output
space group	C2/m (12)
distance to the lowest polymorph of the same formula	0.072	eV per atom
mass density	14.8	g/cm3
formation enthalpy at 0 K	-0.14	eV per atom

Unit cell a=6.845 b=6.845 c=10.532 alpha=116.47 beta=116.47 gamma=22.65
Atoms (fractional coordinates):
1 V 0.062 0.062 0.144
2 V 0.938 0.938 0.856
3 Ni 0.144 0.144 0.960
4 Ni 0.320 0.320 0.616
5 Ni 0.680 0.680 0.384
6 Ni 0.856 0.856 0.040
7 Pt 0.110 0.110 0.536
8 Pt 0.259 0.259 0.812
9 Pt 0.463 0.463 0.274
10 Pt 0.537 0.537 0.726
11 Pt 0.741 0.741 0.188
12 Pt 0.890 0.890 0.464



The following is a GGA-PBE calculation of crystalline Rb2SnBrCl3 at its relaxed geometry, from Alexandria via LeMat-Bulk.

Output
space group	Immm (71)
formation energy without anion corrections	-1.4775	eV/atom
mass density	2.9	g/cm3

Unit cell a=9.304 b=9.304 c=9.304 alpha=144.98 beta=143.38 gamma=51.57
Atoms (fractional coordinates):
1 Rb 0.141 0.141 0.000
2 Rb 0.859 0.859 0.000
3 Sn 0.500 0.500 0.000
4 Br 0.000 0.500 0.500
5 Cl 0.332 0.332 0.000
6 Cl 0.500 0.000 0.500
7 Cl 0.668 0.668 0.000